# 1
A plane-wave DFT calculation with PBE was carried out for a relaxed TaMn3Au crystal.

It has space group Pm-3m (No. 221), with a = 4.6492 Å, b = 4.6492 Å, c = 4.6492 Å, α = 90.00°, β = 90.00° and γ = 90.00°. Symmetry generates all atoms from Ta at (0.0000, 0.0000, 0.0000), Mn at (0.0000, 0.0000, 0.5000) and Au at (0.5000, 0.5000, 0.5000).

Its theoretical density is 9.0 g/cm3. The total energy is -36.09 eV per cell. For the energy relative to the elements, the calculation gives 6.5 eV/f.u. The calculation puts the excess energy over the best structure of this formula in the dataset at 0.0 kJ/mol of formula units. The volume is 100 Å³/cell.

# 2
A plane-wave DFT calculation with PBE was carried out for a relaxed Y2ScHg crystal.

It has space group P4mm (No. 99), with a = 3.5332 Å, b = 3.5332 Å, c = 8.7302 Å, α = 90.00°, β = 90.00° and γ = 90.00°. Symmetry generates all atoms from Y at (0.0000, 0.0000, 0.0000), Y at (0.5000, 0.5000, 0.2967), Sc at (0.5000, 0.5000, 0.7333) and Hg at (0.0000, 0.0000, 0.5385).

Its theoretical density is 6.5 g/cm3. The total energy is -20.40 eV per cell. For the energy relative to the elements, the calculation gives -0.8 eV/f.u. The volume is 109 Å³/cell.

# 3
A plane-wave DFT calculation with PBE was carried out for a relaxed Sc2HgCl crystal.

It has space group Pmmm (No. 47), with a = 3.3539 Å, b = 3.6548 Å, c = 7.4595 Å, α = 90.00°, β = 90.00° and γ = 90.00°. Symmetry generates all atoms from Sc at (0.0000, 0.0000, 0.2269), Hg at (0.5000, 0.5000, 0.0000) and Cl at (0.5000, 0.0000, 0.5000).

Its theoretical density is 5.9 g/cm3. The total energy is -17.81 eV per cell. The calculation puts the excess energy over the best structure of this formula in the dataset at 17.1 kJ/mol of formula units. The volume is 91 Å³/cell. For the uncorrected formation energy, the calculation gives -749 meV per atom.

# 4
A plane-wave DFT calculation with PBE was carried out for a relaxed SmEr3Zr2N6 crystal.

It has space group C2/m (No. 12), with a = 14.7554 Å, b = 3.3841 Å, c = 6.7984 Å, α = 90.00°, β = 103.21° and γ = 90.00°. Symmetry generates all atoms from Sm at (0.0000, 0.0000, 0.0000), Er at (0.0000, 0.0000, 0.5000), Er at (0.1674, 0.5000, 0.8323), Zr at (0.1677, 0.5000, 0.3359), N at (0.0069, 0.5000, 0.2629), N at (0.1711, 0.0000, 0.0979) and N at (0.1705, 0.0000, 0.5768).

Its theoretical density is 9.2 g/cm3. The total energy is -211.89 eV per cell. The volume is 330 Å³/cell. For the uncorrected formation energy, the calculation gives -1707 meV per atom.

# 5
A plane-wave DFT calculation with PBE was carried out for a relaxed Ac8PRh3Se3 crystal.

It has space group R-3m (No. 166, hexagonal axes), with a = 8.8093 Å, b = 8.8093 Å, c = 22.2527 Å, α = 90.00°, β = 90.00° and γ = 120.00°. Symmetry generates all atoms from Ac at (0.0000, 0.0000, 0.2432), Ac at (0.0052, 0.5026, 0.7585), P at (0.0000, 0.0000, 0.5000), Rh at (0.0000, 0.5000, 0.5000) and Se at (0.0000, 0.5000, 0.0000).

Its theoretical density is 8.0 g/cm3. The total energy is -264.88 eV per cell. The volume is 1496 Å³/cell. For the uncorrected formation energy, the calculation gives -1167 meV per atom.

# 6
A plane-wave DFT calculation with PBE was carried out for a relaxed Sc3CdC crystal.

It has space group P6_3/mmc (No. 194), with a = 4.1927 Å, b = 4.1927 Å, c = 15.3659 Å, α = 90.00°, β = 90.00° and γ = 120.00°. Symmetry generates all atoms from Sc at (0.0000, 0.0000, 0.2500), Sc at (0.3333, 0.6667, 0.0617), Cd at (0.3333, 0.6667, 0.2500) and C at (0.0000, 0.0000, 0.0000).

Its theoretical density is 3.7 g/cm3. The total energy is -51.55 eV per cell. For the energy relative to the elements, the calculation gives 3.4 eV/f.u. The calculation puts the excess energy over the best structure of this formula in the dataset at 547.7 kJ/mol of formula units. The volume is 234 Å³/cell.

# 7
A plane-wave DFT calculation with PBE was carried out for a relaxed ReS3O crystal.

It has space group Pm-3m (No. 221), with a = 4.5465 Å, b = 4.5465 Å, c = 4.5465 Å, α = 90.00°, β = 90.00° and γ = 90.00°. Symmetry generates all atoms from Re at (0.0000, 0.0000, 0.0000), S at (0.0000, 0.0000, 0.5000) and O at (0.5000, 0.5000, 0.5000).

Its theoretical density is 5.3 g/cm3. The total energy is -25.59 eV per cell. The calculation puts the excess energy over the best structure of this formula in the dataset at 0.0 kJ/mol of formula units. The volume is 94 Å³/cell. For the uncorrected formation energy, the calculation gives 840 meV per atom.

# 8
A plane-wave DFT calculation with PBE was carried out for a relaxed CdW2Br crystal.

It has space group I-42d (No. 122), with a = 3.9490 Å, b = 3.9490 Å, c = 21.2301 Å, α = 90.00°, β = 90.00° and γ = 90.00°. Symmetry generates all atoms from Cd at (0.0000, 0.0000, 0.0000), W at (0.2011, 0.2500, 0.1250) and Br at (0.0000, 0.0000, 0.5000).

Its theoretical density is 11.2 g/cm3. The total energy is -94.69 eV per cell. The calculation puts the excess energy over the best structure of this formula in the dataset at 316.4 kJ/mol of formula units. The volume is 331 Å³/cell. For the uncorrected formation energy, the calculation gives 1205 meV per atom.

# 9
A plane-wave DFT calculation with PBE was carried out for a relaxed In8Hg2Pb3 crystal.

It has space group C2/m (No. 12), with a = 18.0559 Å, b = 6.6536 Å, c = 6.4900 Å, α = 90.00°, β = 106.68° and γ = 90.00°. Symmetry generates all atoms from In at (0.1592, 0.2462, 0.3367), In at (0.1624, 0.0000, 0.7999), In at (0.2059, 0.5000, 0.7748), Hg at (0.0744, 0.5000, 0.9528), Pb at (0.0000, 0.0000, 0.0000) and Pb at (0.0000, 0.2480, 0.5000).

Its theoretical density is 8.6 g/cm3. The total energy is -65.97 eV per cell. For the energy relative to the elements, the calculation gives 0.6 eV/f.u. The volume is 747 Å³/cell.

# 10
A plane-wave DFT calculation with PBE was carried out for a relaxed KRbAg crystal.

It has space group P3m1 (No. 156), with a = 5.8060 Å, b = 5.8060 Å, c = 5.1224 Å, α = 90.00°, β = 90.00° and γ = 120.00°. Symmetry generates all atoms from K at (0.0000, 0.0000, 0.0000), Rb at (0.3333, 0.6667, 0.5294) and Ag at (0.6667, 0.3333, 0.1576).

Its theoretical density is 2.6 g/cm3. The total energy is -4.54 eV per cell. For the energy relative to the elements, the calculation gives 0.4 eV/f.u. The calculation puts the excess energy over the best structure of this formula in the dataset at 31.2 kJ/mol of formula units. The volume is 150 Å³/cell.

# 11
A plane-wave DFT calculation with PBE was carried out for a relaxed Pr6SmHg crystal.

It has space group P4/mmm (No. 123), with a = 5.0602 Å, b = 5.0602 Å, c = 10.4130 Å, α = 90.00°, β = 90.00° and γ = 90.00°. Symmetry generates all atoms from Pr at (0.0000, 0.0000, 0.0000), Pr at (0.0000, 0.0000, 0.5000), Pr at (0.0000, 0.5000, 0.2425), Sm at (0.5000, 0.5000, 0.5000) and Hg at (0.5000, 0.5000, 0.0000).

Its theoretical density is 7.5 g/cm3. The total energy is -34.25 eV per cell. For the energy relative to the elements, the calculation gives -0.6 eV/f.u. The calculation puts the excess energy over the best structure of this formula in the dataset at 0.0 kJ/mol of formula units. The volume is 267 Å³/cell.

# 12
A plane-wave DFT calculation with PBE was carried out for a relaxed Mg2Au2Br crystal.

It has space group P4/mbm (No. 127), with a = 7.7831 Å, b = 7.7831 Å, c = 3.5195 Å, α = 90.00°, β = 90.00° and γ = 90.00°. Symmetry generates all atoms from Mg at (0.1709, 0.3291, 0.0000), Au at (0.1276, 0.6276, 0.5000) and Br at (0.0000, 0.0000, 0.0000).

Its theoretical density is 8.1 g/cm3. The total energy is -27.62 eV per cell. The volume is 213 Å³/cell. For the uncorrected formation energy, the calculation gives -479 meV per atom.

# 13
A plane-wave DFT calculation with PBE was carried out for a relaxed NiBPt2 crystal.

It has space group R-3m (No. 166, hexagonal axes), with a = 2.8686 Å, b = 2.8686 Å, c = 21.2059 Å, α = 90.00°, β = 90.00° and γ = 120.00°. Symmetry generates all atoms from Ni at (0.0000, 0.0000, 0.0000), B at (0.0000, 0.0000, 0.5000) and Pt at (0.0000, 0.0000, 0.2345).

Its theoretical density is 15.2 g/cm3. The total energy is -73.40 eV per cell. For the energy relative to the elements, the calculation gives 0.1 eV/f.u. The volume is 151 Å³/cell.

# 14
A plane-wave DFT calculation with PBE was carried out for a relaxed YAsPd3 crystal.

It has space group I-4m2 (No. 119), with a = 5.1918 Å, b = 5.1918 Å, c = 16.3032 Å, α = 90.00°, β = 90.00° and γ = 90.00°. Symmetry generates all atoms from Y at (0.0000, 0.0000, 0.1559), As at (0.0000, 0.0000, 0.5000), As at (0.0000, 0.5000, 0.7500), Pd at (0.0000, 0.2454, 0.6252) and Pd at (0.0000, 0.5000, 0.0522).

Its theoretical density is 7.3 g/cm3. The total energy is -116.27 eV per cell. For the energy relative to the elements, the calculation gives -2.4 eV/f.u. The calculation puts the excess energy over the best structure of this formula in the dataset at 8.4 kJ/mol of formula units. The volume is 439 Å³/cell.

# 15
A plane-wave DFT calculation with PBE was carried out for a relaxed LaMnNi2 crystal.

It has space group Fm-3m (No. 225), with a = 6.5647 Å, b = 6.5647 Å, c = 6.5647 Å, α = 90.00°, β = 90.00° and γ = 90.00°. Symmetry generates all atoms from La at (0.0000, 0.0000, 0.0000), Mn at (0.0000, 0.0000, 0.5000) and Ni at (0.2500, 0.2500, 0.2500).

Its theoretical density is 7.3 g/cm3. The total energy is -101.71 eV per cell. For the energy relative to the elements, the calculation gives 0.2 eV/f.u. The volume is 283 Å³/cell.

# 16
A plane-wave DFT calculation with PBE was carried out for a relaxed Ho8P3S3N crystal.

It has space group R-3m (No. 166, hexagonal axes), with a = 7.7708 Å, b = 7.7708 Å, c = 18.9447 Å, α = 90.00°, β = 90.00° and γ = 120.00°. Symmetry generates all atoms from Ho at (0.0000, 0.0000, 0.2477), Ho at (0.0293, 0.5147, 0.7443), P at (0.0000, 0.5000, 0.5000), S at (0.0000, 0.5000, 0.0000) and N at (0.0000, 0.0000, 0.0000).

Its theoretical density is 7.7 g/cm3. The total energy is -295.05 eV per cell. The volume is 991 Å³/cell. For the uncorrected formation energy, the calculation gives -1653 meV per atom.

# 17
A plane-wave DFT calculation with PBE was carried out for a relaxed LiAg2ICl2 crystal.

It has space group Cmc2_1 (No. 36), with a = 12.7973 Å, b = 7.5162 Å, c = 7.1124 Å, α = 90.00°, β = 90.00° and γ = 90.00°. Symmetry generates all atoms from Li at (0.0000, 0.2115, 0.0000), Ag at (0.1666, 0.3313, 0.4454), I at (0.0000, 0.1491, 0.6110) and Cl at (0.1638, 0.3368, 0.0773).

Its theoretical density is 4.1 g/cm3. The total energy is -69.93 eV per cell. The volume is 684 Å³/cell. For the uncorrected formation energy, the calculation gives -771 meV per atom.

# 18
A plane-wave DFT calculation with PBE was carried out for a relaxed TlNi2 crystal.

It has space group C2/m (No. 12), with a = 11.4696 Å, b = 3.4316 Å, c = 5.3223 Å, α = 90.00°, β = 117.50° and γ = 90.00°. Symmetry generates all atoms from Tl at (0.1719, 0.0000, 0.1711), Ni at (0.9995, 0.5000, 0.2605) and Ni at (0.1201, 0.0000, 0.6189).

Its theoretical density is 11.5 g/cm3. The total energy is -52.54 eV per cell. For the energy relative to the elements, the calculation gives 0.8 eV/f.u. The volume is 186 Å³/cell.

# 19
A plane-wave DFT calculation with PBE was carried out for a relaxed PrNdAgRu crystal.

It has space group P4mm (No. 99), with a = 3.5412 Å, b = 3.5412 Å, c = 7.7996 Å, α = 90.00°, β = 90.00° and γ = 90.00°. Symmetry generates all atoms from Pr at (0.0000, 0.0000, 0.0000), Nd at (0.0000, 0.0000, 0.5532), Ag at (0.5000, 0.5000, 0.2800) and Ru at (0.5000, 0.5000, 0.7740).

Its theoretical density is 8.4 g/cm3. The total energy is -22.58 eV per cell. For the energy relative to the elements, the calculation gives -0.9 eV/f.u. The calculation puts the excess energy over the best structure of this formula in the dataset at 0.0 kJ/mol of formula units. The volume is 98 Å³/cell.

# 20
A plane-wave DFT calculation with PBE was carried out for a relaxed CaBe4Pd3O12 crystal.

It has space group R32 (No. 155, hexagonal axes), with a = 10.0901 Å, b = 10.0901 Å, c = 7.3629 Å, α = 90.00°, β = 90.00° and γ = 120.00°. Symmetry generates all atoms from Ca at (0.0000, 0.0000, 0.0000), Be at (0.0000, 0.0000, 0.5000), Be at (0.0000, 0.4291, 0.5000), Pd at (0.0000, 0.5636, 0.0000), O at (0.0000, 0.5847, 0.5000), O at (0.0000, 0.8465, 0.5000) and O at (0.0469, 0.2202, 0.1785).

Its theoretical density is 4.5 g/cm3. The total energy is -356.74 eV per cell. The volume is 649 Å³/cell. For the uncorrected formation energy, the calculation gives -1347 meV per atom.

# 21
A plane-wave DFT calculation with PBE was carried out for a relaxed Hf4RhCl2 crystal.

It has space group I4/mmm (No. 139), with a = 5.0319 Å, b = 5.0319 Å, c = 12.8599 Å, α = 90.00°, β = 90.00° and γ = 90.00°. Symmetry generates all atoms from Hf at (0.0000, 0.0000, 0.2007), Hf at (0.0000, 0.5000, 0.0000), Rh at (0.0000, 0.0000, 0.0000) and Cl at (0.0000, 0.0000, 0.3950).

Its theoretical density is 9.1 g/cm3. The total energy is -101.55 eV per cell. The volume is 326 Å³/cell. For the uncorrected formation energy, the calculation gives 12 meV per atom.

# 22
A plane-wave DFT calculation with PBE was carried out for a relaxed LiTlRu2 crystal.

It has space group Cm (No. 8), with a = 8.7931 Å, b = 2.9278 Å, c = 5.0102 Å, α = 90.00°, β = 97.85° and γ = 90.00°. Symmetry generates all atoms from Li at (0.0000, 0.0000, 0.0000), Tl at (0.2542, 0.5000, 0.2213), Ru at (0.0031, 0.5000, 0.5471) and Ru at (0.2448, 0.0000, 0.7186).

Its theoretical density is 10.7 g/cm3. The total energy is -43.02 eV per cell. For the energy relative to the elements, the calculation gives 1.3 eV/f.u. The calculation puts the excess energy over the best structure of this formula in the dataset at 38.7 kJ/mol of formula units. The volume is 128 Å³/cell.

# 23
A plane-wave DFT calculation with PBE was carried out for a relaxed UH3Pd crystal.

It has space group Pm-3m (No. 221), with a = 3.7334 Å, b = 3.7334 Å, c = 3.7334 Å, α = 90.00°, β = 90.00° and γ = 90.00°. Symmetry generates all atoms from U at (0.0000, 0.0000, 0.0000), H at (0.0000, 0.5000, 0.5000) and Pd at (0.5000, 0.5000, 0.5000).

Its theoretical density is 11.1 g/cm3. The total energy is -27.16 eV per cell. The volume is 52 Å³/cell.

# 24
A plane-wave DFT calculation with PBE was carried out for a relaxed EuHoTl4 crystal.

It has space group F-43m (No. 216), with a = 8.9030 Å, b = 8.9030 Å, c = 8.9030 Å, α = 90.00°, β = 90.00° and γ = 90.00°. Symmetry generates all atoms from Eu at (0.0000, 0.0000, 0.0000), Ho at (0.2500, 0.2500, 0.2500) and Tl at (0.1248, 0.1248, 0.6248).

Its theoretical density is 10.7 g/cm3. The total energy is -99.56 eV per cell. For the energy relative to the elements, the calculation gives -0.6 eV/f.u. The volume is 706 Å³/cell.